Compound: MgCrMo2
Source: Alexandria via LeMat-Bulk
Functional: PBE
Structure: relaxed

E_form (eV per atom): 0.317
Density of states at the Fermi level (states/eV/f.u.): 2.5
Calculated density (g cm⁻³): 7.31

Lattice parameters (Å, degrees): 4.3615 2.6581 5.3567 78.72 90.00 90.00
Fractional coordinates of all 4 atoms:
Cr 0.5000 0.2500 0.2500
Mg 0.5000 0.7500 0.7500
Mo 0.0000 0.0129 0.0131
Mo 0.0000 0.4871 0.4869